Entry 1:
DFT (PBE) results for an optimized crystal structure of TbDyGeRu.

```
data_TbDyGeRu
_chemical_formula_sum 'Tb4 Dy4 Ge4 Ru4'
_symmetry_space_group_name_H-M 'F -4 3 m'
_symmetry_Int_Tables_number 216
_symmetry_space_group_name_Hall 'F -4 2 3'
_cell_length_a 6.985
_cell_length_b 6.985
_cell_length_c 6.985
_cell_angle_alpha 90.00
_cell_angle_beta 90.00
_cell_angle_gamma 90.00
loop_
_atom_site_label
_atom_site_type_symbol
_atom_site_fract_x
_atom_site_fract_y
_atom_site_fract_z
_atom_site_occupancy
Tb1 Tb 0.000 0.000 0.000 1
Dy1 Dy 0.000 0.000 0.500 1
Ge1 Ge 0.250 0.250 0.250 1
Ru1 Ru 0.250 0.250 0.750 1
```

- Formation energy: -0.47 eV/atom
- Distance to the lowest polymorph of the same formula: 0.155 eV/atom

***

Entry 2:
DFT (PBE) results for an optimized crystal structure of TbDyGeRu.

```
data_TbDyGeRu
_chemical_formula_sum 'Tb2 Dy2 Ge2 Ru2'
_symmetry_space_group_name_H-M 'A m m 2'
_symmetry_Int_Tables_number 38
_cell_length_a 3.866
_cell_length_b 4.250
_cell_length_c 10.879
_cell_angle_alpha 90.00
_cell_angle_beta 90.00
_cell_angle_gamma 90.00
loop_
_symmetry_equiv_pos_as_xyz
'x,y,z'
'-x,-y,z'
'-x,y,z'
'x,-y,z'
'x,y+1/2,z+1/2'
'-x,-y+1/2,z+1/2'
'-x,y+1/2,z+1/2'
'x,-y+1/2,z+1/2'
loop_
_atom_site_label
_atom_site_type_symbol
_atom_site_fract_x
_atom_site_fract_y
_atom_site_fract_z
_atom_site_occupancy
Tb1 Tb 0.000 0.000 0.000 1
Dy1 Dy 0.500 0.000 0.719 1
Ge1 Ge 0.500 0.000 0.422 1
Ru1 Ru 0.000 0.000 0.269 1
```

- Formation energy: -0.63 eV/atom
- Distance to the lowest polymorph of the same formula: 0.000 eV/atom

***

Entry 3:
DFT (PBE) results for an optimized crystal structure of DyTcGe2Ru.

```
data_DyTcGe2Ru
_chemical_formula_sum 'Dy2 Tc2 Ge4 Ru2'
_symmetry_space_group_name_H-M 'I -4 m 2'
_symmetry_Int_Tables_number 119
_symmetry_space_group_name_Hall 'I -4 -2'
_cell_length_a 4.258
_cell_length_b 4.258
_cell_length_c 10.039
_cell_angle_alpha 90.00
_cell_angle_beta 90.00
_cell_angle_gamma 90.00
loop_
_atom_site_label
_atom_site_type_symbol
_atom_site_fract_x
_atom_site_fract_y
_atom_site_fract_z
_atom_site_occupancy
Dy1 Dy 0.000 0.000 0.000 1
Tc1 Tc 0.000 0.500 0.750 1
Ge1 Ge 0.000 0.000 0.373 1
Ru1 Ru 0.000 0.500 0.250 1
```

- Formation energy: -0.51 eV/atom

***

Entry 4:
DFT (PBE) results for an optimized crystal structure of DyTmGeRu.

```
data_DyTmGeRu
_chemical_formula_sum 'Dy2 Tm2 Ge2 Ru2'
_symmetry_space_group_name_H-M 'A m m 2'
_symmetry_Int_Tables_number 38
_cell_length_a 3.835
_cell_length_b 4.211
_cell_length_c 10.810
_cell_angle_alpha 90.00
_cell_angle_beta 90.00
_cell_angle_gamma 90.00
loop_
_symmetry_equiv_pos_as_xyz
'x,y,z'
'-x,-y,z'
'-x,y,z'
'x,-y,z'
'x,y+1/2,z+1/2'
'-x,-y+1/2,z+1/2'
'-x,y+1/2,z+1/2'
'x,-y+1/2,z+1/2'
loop_
_atom_site_label
_atom_site_type_symbol
_atom_site_fract_x
_atom_site_fract_y
_atom_site_fract_z
_atom_site_occupancy
Dy1 Dy 0.000 0.000 0.000 1
Tm1 Tm 0.500 0.000 0.718 1
Ge1 Ge 0.500 0.000 0.422 1
Ru1 Ru 0.000 0.000 0.267 1
```

- Formation energy: -0.64 eV/atom
- Distance to the lowest polymorph of the same formula: 0.000 eV/atom

***

Entry 5:
DFT (PBE) results for an optimized crystal structure of DyTmGeRu.

```
data_DyTmGeRu
_chemical_formula_sum 'Dy4 Tm4 Ge4 Ru4'
_symmetry_space_group_name_H-M 'F -4 3 m'
_symmetry_Int_Tables_number 216
_symmetry_space_group_name_Hall 'F -4 2 3'
_cell_length_a 6.921
_cell_length_b 6.921
_cell_length_c 6.921
_cell_angle_alpha 90.00
_cell_angle_beta 90.00
_cell_angle_gamma 90.00
loop_
_atom_site_label
_atom_site_type_symbol
_atom_site_fract_x
_atom_site_fract_y
_atom_site_fract_z
_atom_site_occupancy
Dy1 Dy 0.000 0.000 0.000 1
Tm1 Tm 0.000 0.000 0.500 1
Ge1 Ge 0.250 0.250 0.250 1
Ru1 Ru 0.250 0.250 0.750 1
```

- Formation energy: -0.50 eV/atom
- Distance to the lowest polymorph of the same formula: 0.139 eV/atom

***

Entry 6:
DFT (PBE) results for an optimized crystal structure of Dy2GeS4.

```
data_Dy2GeS4
_chemical_formula_sum 'Dy4 Ge2 S8'
_symmetry_space_group_name_H-M 'I -4 2 m'
_symmetry_Int_Tables_number 121
_symmetry_space_group_name_Hall 'I -4 2'
_cell_length_a 6.124
_cell_length_b 6.124
_cell_length_c 11.946
_cell_angle_alpha 90.00
_cell_angle_beta 90.00
_cell_angle_gamma 90.00
loop_
_atom_site_label
_atom_site_type_symbol
_atom_site_fract_x
_atom_site_fract_y
_atom_site_fract_z
_atom_site_occupancy
Dy1 Dy 0.000 0.500 0.250 1
Ge1 Ge 0.000 0.000 0.000 1
S1 S 0.244 0.244 0.127 1
```

- Uncorrected formation energy: -1226 meV per atom